No. 1
Be2HgW | GGA-PBE | optimized geometry

a = 2.8732 Å, b = 2.8732 Å, c = 6.4610 Å
α = 90.00°, β = 90.00°, γ = 90.00°
Last column: nearest neighbours and their distance in Å.
Positions (direct):
Be1 0.0000 0.0000 0.0412  4 Be 2.26
Be2 0.5000 0.5000 0.1947  4 Be 2.26, 1 W 2.51
Hg1 0.0000 0.0000 0.4577  5 Be 2.65-2.69, 4 Hg 2.87
W1 0.5000 0.5000 0.8064  5 Be 2.51-2.54

Calculated values
As for the total energy: -4.74 eV/atom. The magnetic moment comes out at 0.00 μB per atom. The value obtained for the calculated formation energy is 0.43 eV/atom.

=====

No. 2
RbSmCuTe2 | GGA-PBE | optimized geometry

a = 4.7459 Å, b = 8.9112 Å, c = 8.6578 Å
α = 98.15°, β = 90.00°, γ = 90.00°
Last column: nearest neighbours and their distance in Å.
Positions (direct):
Rb1 0.1901 0.5000 0.7500  6 Te 3.67-3.71
Rb2 0.8099 0.5000 0.2500  6 Te 3.67-3.71
Sm1 0.4939 0.0000 0.2500  4 Te 3.12-3.13, 4 Cu 3.19-3.23
Sm2 0.5061 0.0000 0.7500  4 Te 3.12-3.13, 4 Cu 3.19-3.23
Cu1 0.0000 0.0000 0.0000  2 Te 2.50
Cu2 0.0000 0.0000 0.5000  2 Te 2.50
Te1 0.6966 0.7681 0.9684  1 Cu 2.50
Te2 0.6966 0.2319 0.5316  1 Cu 2.50
Te3 0.3034 0.7681 0.4684  1 Cu 2.50
Te4 0.3034 0.2319 0.0316  1 Cu 2.50

Calculated values
As for the total energy: -3.99 eV/atom. The magnetic moment comes out at 0.00 μB per atom. For the uncorrected formation energy, the calculation gives -374 kJ/mol of formula units.

=====

No. 3
Mo3PtI | GGA-PBE | optimized geometry

a = 4.8900 Å, b = 4.8900 Å, c = 4.8900 Å
α = 90.00°, β = 90.00°, γ = 90.00°
Last column: nearest neighbours and their distance in Å.
Positions (direct):
I1 0.5000 0.5000 0.5000  12 Mo 3.46
Mo1 0.0000 0.5000 0.0000  2 Pt 2.45
Mo2 0.0000 0.0000 0.5000  2 Pt 2.45
Mo3 0.5000 0.0000 0.0000  2 Pt 2.45
Pt1 0.0000 0.0000 0.0000  6 Mo 2.45

Calculated values
As for the total energy: -6.20 eV/atom. As for the energy relative to the lowest polymorph listed for this composition: 0 meV/atom. The magnetic moment comes out at 0.49 μB per atom. For the uncorrected formation energy, the calculation gives 879 kJ/mol of formula units.

=====

No. 4
Pm4AlGe5 | GGA-PBE | optimized geometry

a = 6.0153 Å, b = 7.1037 Å, c = 7.1037 Å
α = 79.67°, β = 64.95°, γ = 64.95°
Last column: nearest neighbours and their distance in Å.
Positions (direct):
Pm1 0.3829 0.3821 0.7792  6 Ge 3.00-3.06
Pm2 0.7649 0.7792 0.6179  6 Ge 3.00-3.06
Pm3 0.1620 0.2208 0.3821  6 Ge 3.00-3.06
Pm4 0.5441 0.6179 0.2208  6 Ge 3.00-3.06
Al1 0.1598 0.0000 0.0000  5 Ge 2.78-2.88
Ge1 0.8730 0.3528 0.8298  1 Al 2.78, 5 Pm 3.00-3.06
Ge2 0.2258 0.8298 0.6472  1 Al 2.78, 5 Pm 3.00-3.06
Ge3 0.7028 0.1702 0.3528  1 Al 2.78, 5 Pm 3.00-3.06
Ge4 0.0556 0.6472 0.1702  1 Al 2.78, 5 Pm 3.00-3.06
Ge5 0.6394 0.0000 0.0000  2 Al 2.88-3.13, 4 Pm 3.03, 4 Ge 3.19

Calculated values
As for the total energy: -5.01 eV/atom. The magnetic moment comes out at 0.00 μB per atom. The value obtained for the calculated formation energy is -0.42 eV/atom.

=====

No. 5
KHgAu2 | GGA-PBE | optimized geometry

a = 5.0248 Å, b = 5.0248 Å, c = 7.2053 Å
α = 84.91°, β = 84.91°, γ = 33.86°
Last column: nearest neighbours and their distance in Å.
Positions (direct):
Au1 0.0042 0.0042 0.9463  4 Au 2.93-3.19, 3 Hg 2.93-3.02
Au2 0.4958 0.4958 0.5537  4 Au 2.93-3.19, 3 Hg 2.93-3.02
Hg1 0.7500 0.7500 0.7500  2 Hg 2.93, 6 Au 2.93-3.02
K1 0.2500 0.2500 0.2500  2 K 2.93

Calculated values
As for the total energy: -2.02 eV/atom. The magnetic moment comes out at 0.00 μB per atom. The value obtained for the calculated formation energy is -0.03 eV/atom.

=====

No. 6
CdReSe2 | GGA-PBE | optimized geometry

a = 4.7544 Å, b = 4.7544 Å, c = 4.7544 Å
α = 60.00°, β = 60.00°, γ = 60.00°
Last column: nearest neighbours and their distance in Å.
Positions (direct):
Cd1 0.5000 0.5000 0.5000  4 Re 2.91, 4 Se 2.91
Re1 0.2500 0.2500 0.2500  4 Se 2.91, 4 Cd 2.91
Se1 0.0000 0.0000 0.0000  4 Se 2.91, 4 Re 2.91
Se2 0.7500 0.7500 0.7500  4 Cd 2.91, 4 Se 2.91

Calculated values
As for the total energy: -4.01 eV/atom. As for the energy relative to the lowest polymorph listed for this composition: 1060 meV/atom. The magnetic moment comes out at 0.34 μB per atom. For the uncorrected formation energy, the calculation gives 412 kJ/mol of formula units.

=====

Q: Which formula does entry 1 have?
A: Be2HgW

=====

Please write out number 4 again, unchanged.
Pm4AlGe5 | GGA-PBE | optimized geometry

a = 6.0153 Å, b = 7.1037 Å, c = 7.1037 Å
α = 79.67°, β = 64.95°, γ = 64.95°
Last column: nearest neighbours and their distance in Å.
Positions (direct):
Pm1 0.3829 0.3821 0.7792  6 Ge 3.00-3.06
Pm2 0.7649 0.7792 0.6179  6 Ge 3.00-3.06
Pm3 0.1620 0.2208 0.3821  6 Ge 3.00-3.06
Pm4 0.5441 0.6179 0.2208  6 Ge 3.00-3.06
Al1 0.1598 0.0000 0.0000  5 Ge 2.78-2.88
Ge1 0.8730 0.3528 0.8298  1 Al 2.78, 5 Pm 3.00-3.06
Ge2 0.2258 0.8298 0.6472  1 Al 2.78, 5 Pm 3.00-3.06
Ge3 0.7028 0.1702 0.3528  1 Al 2.78, 5 Pm 3.00-3.06
Ge4 0.0556 0.6472 0.1702  1 Al 2.78, 5 Pm 3.00-3.06
Ge5 0.6394 0.0000 0.0000  2 Al 2.88-3.13, 4 Pm 3.03, 4 Ge 3.19

Calculated values
As for the total energy: -5.01 eV/atom. The magnetic moment comes out at 0.00 μB per atom. The value obtained for the calculated formation energy is -0.42 eV/atom.

=====

Q: What is the magnetic moment in the fourth record?
A: 0.00 μB per atom